[1]
PmIn2Hg9: relaxed, PBE.

It has space group P4/mmm (No. 123), with a = 4.943 Å, b = 4.943 Å, c = 12.659 Å, α = 90.00°, β = 90.00° and γ = 90.00°. Symmetry generates all atoms from Pm at (0.000, 0.000, 0.000), In at (0.000, 0.000, 0.331), Hg at (0.000, 0.500, 0.167), Hg at (0.000, 0.500, 0.500), Hg at (0.500, 0.500, 0.000) and Hg at (0.500, 0.500, 0.333).

The calculated density comes out at 11.70 g/cm3. The value obtained for the formation energy is -110.4 meV/atom. The crystal system is tetragonal. The calculated volume comes out at 309 Å³ per cell.

***

[2]
Pr3Dy4Er4: relaxed, PBE.

It has space group P-1 (No. 2), with a = 3.580 Å, b = 5.042 Å, c = 19.925 Å, α = 97.25°, β = 95.14° and γ = 90.00°. Symmetry generates all atoms from Pr at (0.000, 0.000, 0.000), Pr at (0.363, 0.363, 0.726), Dy at (0.182, 0.183, 0.367), Dy at (0.454, 0.455, 0.907), Er at (0.092, 0.090, 0.182) and Er at (0.272, 0.272, 0.544).

The calculated density comes out at 8.14 g/cm3. The value obtained for the formation energy is 20.5 meV/atom. The value obtained for the energy above the most stable polymorph in this dataset is 0 meV/atom. The crystal system is triclinic. The calculated volume comes out at 355 Å³ per cell.

***

[3]
ErAgPb2: relaxed, PBE.

It has space group P4/mmm (No. 123), with a = 4.772 Å, b = 4.772 Å, c = 4.470 Å, α = 90.00°, β = 90.00° and γ = 90.00°. Symmetry generates all atoms from Er at (0.000, 0.000, 0.000), Ag at (0.500, 0.500, 0.000) and Pb at (0.000, 0.500, 0.500).

The calculated density comes out at 11.25 g/cm3. The value obtained for the formation energy is -256.0 meV/atom. The crystal system is tetragonal. The calculated volume comes out at 102 Å³ per cell.

***

[4]
BaTm4Pb5: relaxed, PBE.

It has space group P4/mmm (No. 123), with a = 4.030 Å, b = 4.030 Å, c = 18.426 Å, α = 90.00°, β = 90.00° and γ = 90.00°. Symmetry generates all atoms from Ba at (0.000, 0.000, 0.000), Tm at (0.000, 0.000, 0.220), Tm at (0.000, 0.000, 0.407), Pb at (0.500, 0.500, 0.129), Pb at (0.500, 0.500, 0.313) and Pb at (0.500, 0.500, 0.500).

The calculated density comes out at 10.26 g/cm3. The value obtained for the formation energy is -376.2 meV/atom. The crystal system is tetragonal. The calculated volume comes out at 299 Å³ per cell.

***

[5]
Ca3Ge2SbAu9: relaxed, PBE.

It has space group P-3m1 (No. 164), with a = 8.1610 Å, b = 8.1610 Å, c = 6.5296 Å, α = 90.00°, β = 90.00° and γ = 120.00°. Symmetry generates all atoms from Ca at (0.0000, 0.0000, 0.0000), Ca at (0.3333, 0.6667, 0.6573), Ge at (0.3333, 0.6667, 0.1451), Sb at (0.0000, 0.0000, 0.5000), Au at (0.0000, 0.5000, 0.0000) and Au at (0.1716, 0.3432, 0.3140).

The calculated density comes out at 9.52 g/cm3. The crystal system is trigonal. The calculated volume comes out at 377 Å³ per cell.

***

[6]
PaVI6: relaxed, PBE.

It has space group C2/m (No. 12), with a = 7.194 Å, b = 14.638 Å, c = 7.195 Å, α = 90.00°, β = 109.26° and γ = 90.00°. Symmetry generates all atoms from Pa at (0.000, 0.000, 0.000), V at (0.000, 0.500, 0.500), I at (0.234, 0.357, 0.734) and I at (0.244, 0.500, 0.256).

The calculated density comes out at 4.84 g/cm3. The crystal system is monoclinic. The calculated volume comes out at 715 Å³ per cell.

***

Number 1: total DFT energy (no corrections) -1.189 eV/atom. Number 2: total DFT energy (no corrections) -4.616 eV/atom. Number 3: total DFT energy (no corrections) -3.964 eV/atom. Number 4: total DFT energy (no corrections) -4.211 eV/atom. Number 5: total DFT energy (no corrections) -3.511 eV/atom. Number 6: total DFT energy (no corrections) -4.199 eV/atom.